1.
# GdTcRuW, optimized geometry, DFT PBE
data_GdTcRuW
_symmetry_space_group_name_H-M 'F -4 3 m'
_symmetry_Int_Tables_number 216
_symmetry_space_group_name_Hall 'F -4 2 3'
_cell_length_a 6.505
_cell_length_b 6.505
_cell_length_c 6.505
_cell_angle_alpha 90.00
_cell_angle_beta 90.00
_cell_angle_gamma 90.00
loop_
_atom_site_label
_atom_site_type_symbol
_atom_site_fract_x
_atom_site_fract_y
_atom_site_fract_z
Gd1 Gd 0.000 0.000 0.000
Tc1 Tc 0.250 0.250 0.750
Ru1 Ru 0.250 0.250 0.250
W1 W 0.000 0.000 0.500
# Formation energy from the elements   0.0631 eV/atom
# Total magnetization   6.929 μB/f.u.
# DOS at the Fermi energy   0.318 states/eV per atom
# E_tot   -185.7 eV per cell

2.
# Pr2ThOs, optimized geometry, DFT PBE
data_Pr2ThOs
_symmetry_space_group_name_H-M 'P n m a'
_symmetry_Int_Tables_number 62
_cell_length_a 7.381
_cell_length_b 10.002
_cell_length_c 6.609
_cell_angle_alpha 90.00
_cell_angle_beta 90.00
_cell_angle_gamma 90.00
loop_
_symmetry_equiv_pos_as_xyz
'x,y,z'
'-x,-y,-z'
'-x+1/2,-y,z+1/2'
'x+1/2,y,-z+1/2'
'x+1/2,-y+1/2,-z+1/2'
'-x+1/2,y+1/2,z+1/2'
'-x,y+1/2,-z'
'x,-y+1/2,z'
loop_
_atom_site_label
_atom_site_type_symbol
_atom_site_fract_x
_atom_site_fract_y
_atom_site_fract_z
Pr1 Pr 0.172 0.067 0.174
Th1 Th 0.052 0.250 0.666
Os1 Os 0.129 0.750 0.974
# Formation energy from the elements   -0.1553 eV/atom
# Total magnetization   0.000 μB/f.u.
# E above lowest polymorph   0 meV per atom
# DOS at the Fermi energy   1.258 states/eV per atom
# E_tot   -115.3 eV per cell

3.
# Ac2LaPr4, optimized geometry, DFT PBE
data_Ac2LaPr4
_symmetry_space_group_name_H-M 'P 1'
_symmetry_Int_Tables_number 1
_cell_length_a 7.575
_cell_length_b 8.522
_cell_length_c 10.049
_cell_angle_alpha 115.08
_cell_angle_beta 100.53
_cell_angle_gamma 102.96
loop_
_symmetry_equiv_pos_as_xyz
'x,y,z'
loop_
_atom_site_label
_atom_site_type_symbol
_atom_site_fract_x
_atom_site_fract_y
_atom_site_fract_z
Ac1 Ac 0.000 0.000 0.000
Ac2 Ac 0.074 0.565 0.708
Ac3 Ac 0.220 0.712 0.146
Ac4 Ac 0.440 0.429 0.294
La1 La 0.291 0.279 0.854
La2 La 0.649 0.136 0.430
Pr1 Pr 0.149 0.137 0.432
Pr2 Pr 0.369 0.862 0.579
Pr3 Pr 0.504 0.998 0.000
Pr4 Pr 0.578 0.567 0.718
Pr5 Pr 0.717 0.710 0.142
Pr6 Pr 0.789 0.284 0.858
Pr7 Pr 0.864 0.859 0.570
Pr8 Pr 0.931 0.427 0.285
# Formation energy from the elements   0.0221 eV/atom
# Total magnetization   0.000 μB/f.u.
# E above lowest polymorph   0 meV per atom
# DOS at the Fermi energy   1.777 states/eV per atom
# E_tot   -64.2 eV per cell

4.
# Hf2GeP, optimized geometry, DFT PBE
data_Hf2GeP
_symmetry_space_group_name_H-M 'I -4 2 d'
_symmetry_Int_Tables_number 122
_symmetry_space_group_name_Hall 'I -4 2bw'
_cell_length_a 5.925
_cell_length_b 5.925
_cell_length_c 11.961
_cell_angle_alpha 90.00
_cell_angle_beta 90.00
_cell_angle_gamma 90.00
loop_
_atom_site_label
_atom_site_type_symbol
_atom_site_fract_x
_atom_site_fract_y
_atom_site_fract_z
Hf1 Hf 0.238 0.250 0.125
Ge1 Ge 0.000 0.000 0.500
P1 P 0.000 0.000 0.000
# Formation energy from the elements   -0.1342 eV/atom
# Total magnetization   0.000 μB/f.u.
# E above lowest polymorph   786 meV per atom
# DOS at the Fermi energy   0.551 states/eV per atom
# E_tot   -121.9 eV per cell

5.
# BeHg3, optimized geometry, DFT PBE
data_BeHg3
_symmetry_space_group_name_H-M 'C m c m'
_symmetry_Int_Tables_number 63
_symmetry_space_group_name_Hall '-C 2c 2'
_cell_length_a 8.100
_cell_length_b 10.847
_cell_length_c 4.017
_cell_angle_alpha 90.00
_cell_angle_beta 90.00
_cell_angle_gamma 90.00
loop_
_atom_site_label
_atom_site_type_symbol
_atom_site_fract_x
_atom_site_fract_y
_atom_site_fract_z
Be1 Be 0.000 0.033 0.250
Hg1 Hg 0.000 0.393 0.750
Hg2 Hg 0.199 0.144 0.750
# Formation energy from the elements   0.3156 eV/atom
# Total magnetization   0.000 μB/f.u.
# E above lowest polymorph   98 meV per atom
# DOS at the Fermi energy   0.497 states/eV per atom
# E_tot   -13.5 eV per cell